The following is a DFT calculation (PBE+U) of a relaxed structure of La7Ta3W4O30.

Properties
Calculated total energy (eV per atom): -8.543
SG: P-1
ρ (g/cm3): 7.58

a b c (Å): 6.9155 10.2487 10.2500
angles (deg): 115.14 103.12 102.61
Last column: nearest neighbours and their distance in Å.
Fractional positions:
La  0.0000  0.0000  0.0000  12 O 2.56-2.76
La  0.1199  0.5630  0.7657  6 O 2.42-2.65
La  0.3598  0.2374  0.8043  8 O 2.41-2.69
La  0.4492  0.8075  0.5646  7 O 2.42-2.66
La  0.5508  0.1925  0.4354  7 O 2.42-2.66
La  0.6402  0.7626  0.1957  8 O 2.41-2.69
La  0.8801  0.4370  0.2343  6 O 2.42-2.65
Ta  0.1508  0.7876  0.1697  4 O 1.88-2.04
Ta  0.5000  0.0000  0.0000  6 O 2.00-2.03
Ta  0.8492  0.2124  0.8303  4 O 1.88-2.04
W  0.0139  0.1646  0.3745  4 O 1.85-2.00
W  0.3601  0.3765  0.2108  4 O 1.84-1.97
W  0.6399  0.6235  0.7892  4 O 1.84-1.97
W  0.9861  0.8354  0.6255  4 O 1.85-2.00
O  0.0079  0.9478  0.2243  1 Ta 2.04, 1 W 2.08
O  0.0315  0.6549  0.5195  1 W 1.85
O  0.0555  0.3358  0.7953  1 Ta 1.90
O  0.0683  0.2814  0.0586  1 W 1.97, 1 Ta 2.19
O  0.2136  0.8630  0.8270  1 Ta 2.03, 1 W 2.16
O  0.2174  0.2257  0.2816  2 W 2.00-2.12
O  0.2174  0.9543  0.6107  1 W 1.87
O  0.2460  0.1989  0.5340  1 W 1.86
O  0.2678  0.6578  0.0407  1 Ta 1.91
O  0.2877  0.5350  0.3387  1 W 1.86
O  0.3622  0.9681  0.1415  1 Ta 2.00
O  0.3864  0.8581  0.3479  1 Ta 1.88
O  0.3910  0.1760  0.0365  1 Ta 2.03, 1 W 2.17
O  0.3941  0.6154  0.6593  1 W 1.87
O  0.4904  0.5156  0.8618  1 W 1.84
O  0.5096  0.4844  0.1382  1 W 1.84
O  0.6059  0.3846  0.3407  1 W 1.87
O  0.6090  0.8240  0.9635  1 Ta 2.03, 1 W 2.17
O  0.6136  0.1419  0.6521  1 Ta 1.88
O  0.6378  0.0319  0.8585  1 Ta 2.00
O  0.7123  0.4650  0.6613  1 W 1.86
O  0.7322  0.3422  0.9593  1 Ta 1.91
O  0.7540  0.8011  0.4660  1 W 1.86
O  0.7826  0.0457  0.3893  1 W 1.87
O  0.7826  0.7743  0.7184  2 W 2.00-2.12
O  0.7864  0.1370  0.1730  1 Ta 2.03, 1 W 2.16
O  0.9317  0.7186  0.9414  1 W 1.97, 1 Ta 2.19
O  0.9445  0.6642  0.2047  1 Ta 1.90
O  0.9685  0.3451  0.4805  1 W 1.85
O  0.9921  0.0522  0.7757  1 Ta 2.04, 1 W 2.08